Computed, not measured: CrPd14Pt after structural relaxation at the PBE-GGA level of DFT.

Calculated values
The calculation puts the mass density at 11.79 g/cm3. The final energy comes out at -5.545 eV per atom. As for the space-group type: Amm2 (38). For the density of states at the Fermi level, the calculation gives 2.1315 states/eV/atom. For the energy of formation from the pure elements, the calculation gives -0.36 eV/f.u.

extended XYZ file:
```
16
Lattice="9.146 0.000 0.000 0.000 2.781 4.811 0.000 -2.781 4.811" Properties=species:S:1:pos:R:3 pbc="T T T"
Cr 0.000 0.000 0.000
Pd 0.000 -1.388 2.417
Pd 0.000 1.388 2.417
Pd 2.250 -1.400 5.603
Pd 2.250 1.400 5.603
Pd 2.262 0.000 8.028
Pd 2.288 0.000 3.206
Pd 4.573 0.000 1.594
Pd 4.573 -1.391 4.002
Pd 4.573 1.391 4.002
Pd 4.573 0.000 6.405
Pd 6.858 0.000 3.206
Pd 6.884 0.000 8.028
Pd 6.896 -1.400 5.603
Pd 6.896 1.400 5.603
Pt 0.000 0.000 4.810
```